LaTbPrTh PBE relaxed; energy relative to the lowest polymorph listed for this composition = 0.00 eV/f.u.; formation enthalpy at 0 K = 0.11 eV/f.u.
1.0
-0.378 0.100 3.602
-2.239 -2.843 -0.156
8.137 -6.465 1.034
La Th Tb Pr
1 1 1 1
direct
0.500 0.500 0.805
0.000 0.000 0.566
0.500 0.500 0.334
0.000 0.000 0.080



KAsPd3 PBE relaxed; energy relative to the lowest polymorph listed for this composition = 1.12 eV/f.u.; formation enthalpy at 0 K = -0.29 eV/f.u.
1.0
6.346 0.000 0.000
0.000 6.180 0.000
0.000 -3.090 5.351
K As Pd
2 2 6
direct
0.250 0.333 0.667
0.750 0.667 0.333
0.000 0.000 0.000
0.500 0.000 0.000
0.250 0.361 0.180
0.250 0.820 0.639
0.750 0.180 0.361
0.750 0.639 0.820
0.250 0.820 0.180
0.750 0.180 0.820



CaCu2Sb PBE relaxed; final energy = -3.7882 eV/atom
1.0
-0.310 -4.422 -0.399
0.581 0.267 -3.418
5.364 -0.455 0.876
Sb Ca Cu
1 1 2
direct
0.500 0.250 0.250
0.500 0.750 0.750
0.000 0.250 0.521
0.000 0.250 0.979



YHfNiPd PBE relaxed; formation enthalpy at 0 K = -1.92 eV/f.u.
1.0
-0.912 1.551 -4.395
3.172 -0.688 -3.467
-0.915 -3.108 -3.472
Hf Ni Y Pd
1 1 1 1
direct
0.500 0.500 0.500
0.250 0.250 0.250
0.000 0.000 0.000
0.750 0.750 0.750